1.
{
  "formula": "K23Sn9Au12",
  "functional": "GGA-PBE",
  "state": "relaxed",
  "e_form_kj_per_mol_atoms": -32,
  "space_group": "I-42m, No. 121",
  "lattice": [[6.972, 0.000, 0.000], [3.486, 14.838, 0.000], [3.486, 0.000, 14.838]],
  "species": ["K", "K", "K", "K", "K", "K", "K", "K", "K", "K", "K", "K", "K", "K", "K", "K", "K", "K", "K", "K", "K", "K", "K", "Sn", "Sn", "Sn", "Sn", "Sn", "Sn", "Sn", "Sn", "Sn", "Au", "Au", "Au", "Au", "Au", "Au", "Au", "Au", "Au", "Au", "Au", "Au"],
  "frac_coords": [[0.217, 0.868, 0.215], [0.300, 0.132, 0.785], [0.783, 0.785, 0.132], [0.700, 0.215, 0.868], [0.568, 0.215, 0.132], [0.915, 0.785, 0.868], [0.432, 0.868, 0.785], [0.085, 0.132, 0.215], [0.053, 0.561, 0.242], [0.856, 0.439, 0.758], [0.947, 0.758, 0.439], [0.144, 0.242, 0.561], [0.705, 0.242, 0.439], [0.386, 0.758, 0.561], [0.295, 0.561, 0.758], [0.614, 0.439, 0.242], [0.000, 0.000, 0.000], [0.851, 0.565, 0.000], [0.416, 0.435, 0.000], [0.149, 0.000, 0.435], [0.584, 0.000, 0.565], [0.750, 0.500, 0.500], [0.250, 0.500, 0.500], [0.500, 0.000, 0.000], [0.307, 0.670, 0.000], [0.977, 0.330, 0.000], [0.693, 0.000, 0.330], [0.023, 0.000, 0.670], [0.500, 0.667, 0.333], [0.500, 0.333, 0.667], [0.167, 0.333, 0.333], [0.833, 0.667, 0.667], [0.400, 0.834, 0.000], [0.234, 0.166, 0.000], [0.600, 0.000, 0.166], [0.766, 0.000, 0.834], [0.438, 0.654, 0.162], [0.254, 0.346, 0.838], [0.562, 0.838, 0.346], [0.746, 0.162, 0.654], [0.400, 0.162, 0.346], [0.907, 0.838, 0.654], [0.600, 0.654, 0.838], [0.093, 0.346, 0.162]]
}

---

2.
{
  "formula": "MnTcBr2",
  "functional": "GGA-PBE",
  "state": "relaxed",
  "raw_formation_energy_mev_per_atom": 227,
  "space_group": "P4mm, No. 99",
  "lattice": [[3.178, -0.007, 0.000], [0.012, 3.178, 0.000], [0.000, 0.000, 8.663]],
  "species": ["Br", "Br", "Mn", "Tc"],
  "frac_coords": [[0.000, 0.000, 0.912], [0.500, 0.500, 0.346], [0.000, 0.000, 0.533], [0.500, 0.500, 0.709]]
}

---

3.
{
  "formula": "ThRhPb",
  "functional": "GGA-PBE",
  "state": "relaxed",
  "e_form_kj_per_mol_atoms": -35,
  "space_group": "P4_2/m, No. 84",
  "lattice": [[4.882, 0.000, 0.000], [0.000, 8.349, 0.000], [0.000, 0.000, 8.349]],
  "species": ["Rh", "Rh", "Rh", "Rh", "Th", "Th", "Th", "Th", "Pb", "Pb", "Pb", "Pb"],
  "frac_coords": [[0.500, 0.816, 0.293], [0.500, 0.184, 0.707], [0.000, 0.293, 0.184], [0.000, 0.707, 0.816], [0.500, 0.762, 0.590], [0.000, 0.410, 0.762], [0.000, 0.590, 0.238], [0.500, 0.238, 0.410], [0.500, 0.302, 0.018], [0.000, 0.982, 0.302], [0.000, 0.018, 0.698], [0.500, 0.698, 0.982]]
}

---

4.
{
  "formula": "Y8Al2Ru",
  "functional": "GGA-PBE",
  "state": "relaxed",
  "e_form_kj_per_mol_atoms": -22,
  "space_group": "C2/m, No. 12",
  "lattice": [[5.230, 0.000, 0.000], [0.000, 6.908, -0.119], [-2.615, -3.117, 8.289]],
  "species": ["Y", "Y", "Y", "Y", "Y", "Y", "Y", "Y", "Al", "Al", "Ru"],
  "frac_coords": [[0.406, 0.575, 0.812], [0.651, 0.944, 0.302], [0.799, 0.716, 0.598], [0.984, 0.218, 0.968], [0.201, 0.284, 0.402], [0.349, 0.056, 0.698], [0.594, 0.425, 0.188], [0.016, 0.782, 0.032], [0.822, 0.302, 0.644], [0.178, 0.698, 0.356], [0.500, 0.000, 0.000]]
}